[1]
La2AlNi at its PBEsol-relaxed geometry, computed with SCAN.

Values from the calculation:
Formation energy in kJ per mole of atoms: -32
ρ in g cm⁻³: 6.7

Unit cell a=3.507 b=4.880 c=10.586 alpha=90.00 beta=90.00 gamma=90.00
Space group Imm2 (No. 44)
Unique sites:
La: 0.000 0.000 0.000 x2
La: 0.000 0.500 0.190 x2
Al: 0.000 0.500 0.795 x2
Ni: 0.000 0.000 0.452 x2



[2]
LaIrRh at its PBEsol-relaxed geometry, computed with SCAN.

Values from the calculation:
Formation energy in kJ per mole of atoms: 32
ρ in g cm⁻³: 11.3
ΔE to the lowest computed polymorph in eV/f.u.: 1.07

Unit cell a=6.347 b=6.347 c=6.347 alpha=90.00 beta=90.00 gamma=90.00
Space group F-43m (No. 216)
Unique sites:
La: 0.000 0.000 0.000 x4
Ir: 0.250 0.250 0.250 x4
Rh: 0.250 0.250 0.750 x4



[3]
Sr4Cu at its PBEsol-relaxed geometry, computed with SCAN.

Values from the calculation:
Formation energy in kJ per mole of atoms: 19
ρ in g cm⁻³: 3.3
ΔE to the lowest computed polymorph in eV/f.u.: 0.67

Unit cell a=7.450 b=7.450 c=7.450 alpha=90.00 beta=90.00 gamma=90.00
Space group Im-3m (No. 229)
Unique sites:
Sr: 0.250 0.250 0.250 x8
Cu: 0.000 0.000 0.000 x2



[4]
Sr2YMnCu2O7 at its PBEsol-relaxed geometry, computed with SCAN.

Values from the calculation:
ρ in g cm⁻³: 5.6
DFT total energy in eV/atom: -15.0279

Unit cell a=22.703 b=5.418 c=5.394 alpha=90.00 beta=90.00 gamma=90.00
Space group Ima2 (No. 46)
Unique sites:
Sr: 0.148 0.011 0.000 x8
Y: 0.000 0.000 0.999 x4
Mn: 0.250 0.568 0.953 x4
Cu: 0.069 0.501 0.000 x8
O: 0.063 0.247 0.246 x8
O: 0.065 0.747 0.253 x8
O: 0.175 0.028 0.512 x8
O: 0.250 0.614 0.612 x4



[5]
Re3GeSe at its PBEsol-relaxed geometry, computed with SCAN.

Values from the calculation:
ρ in g cm⁻³: 12.6
DFT total energy in eV/atom: -48.5125

Unit cell a=4.536 b=4.536 c=4.536 alpha=90.00 beta=90.00 gamma=90.00
Space group Pm-3m (No. 221)
Unique sites:
Re: 0.000 0.000 0.500 x3
Ge: 0.500 0.500 0.500 x1
Se: 0.000 0.000 0.000 x1



[6]
LiInAg2F at its PBEsol-relaxed geometry, computed with SCAN.

Values from the calculation:
ρ in g cm⁻³: 7.0
DFT total energy in eV/atom: -21.1030

Unit cell a=5.107 b=5.107 c=3.233 alpha=90.00 beta=90.00 gamma=90.00
Space group P4/mmm (No. 123)
Unique sites:
Li: 0.000 0.000 0.000 x1
In: 0.500 0.500 0.500 x1
Ag: 0.000 0.500 0.000 x2
F: 0.000 0.000 0.500 x1



[7]
LuFeC2 at its PBEsol-relaxed geometry, computed with SCAN.

Values from the calculation:
Formation energy in kJ per mole of atoms: -30
ρ in g cm⁻³: 9.5

Unit cell a=3.409 b=4.477 c=5.811 alpha=90.00 beta=90.00 gamma=90.00
Space group Amm2 (No. 38)
Unique sites:
Lu: 0.000 0.000 0.000 x2
Fe: 0.500 0.000 0.608 x2
C: 0.500 0.157 0.294 x4



[8]
LiFeP at its PBEsol-relaxed geometry, computed with SCAN.

Values from the calculation:
Formation energy in kJ per mole of atoms: -58
ρ in g cm⁻³: 4.0

Unit cell a=3.646 b=3.646 c=5.819 alpha=90.00 beta=90.00 gamma=90.00
Space group P4/nmm (No. 129, origin choice 2)
Unique sites:
Li: 0.250 0.250 0.154 x2
Fe: 0.250 0.750 0.500 x2
P: 0.250 0.250 0.707 x2



[9]
NaNbO3 at its PBEsol-relaxed geometry, computed with SCAN.

Values from the calculation:
ρ in g cm⁻³: 4.6
DFT total energy in eV/atom: -13.8311

Unit cell a=5.561 b=7.831 c=5.488 alpha=90.00 beta=90.00 gamma=90.00
Space group Pnma (No. 62)
Unique sites:
Na: 0.027 0.250 0.004 x4
Nb: 0.000 0.000 0.500 x4
O: 0.015 0.750 0.430 x4
O: 0.210 0.536 0.791 x8



[10]
TaHgRu2 at its PBEsol-relaxed geometry, computed with SCAN.

Values from the calculation:
Formation energy in kJ per mole of atoms: 24
ρ in g cm⁻³: 14.8

Unit cell a=3.398 b=3.398 c=5.675 alpha=90.00 beta=90.00 gamma=90.00
Space group P4mm (No. 99)
Unique sites:
Ta: 0.000 0.000 0.000 x1
Hg: 0.500 0.500 0.311 x1
Ru: 0.000 0.000 0.574 x1
Ru: 0.500 0.500 0.811 x1



[11]
LaCrRe2 at its PBEsol-relaxed geometry, computed with SCAN.

Values from the calculation:
Formation energy in kJ per mole of atoms: 83
ρ in g cm⁻³: 13.3
ΔE to the lowest computed polymorph in eV/f.u.: 1.51

Unit cell a=3.767 b=3.767 c=4.953 alpha=90.00 beta=90.00 gamma=90.00
Space group P4/mmm (No. 123)
Unique sites:
La: 0.000 0.000 0.000 x1
Cr: 0.500 0.500 0.000 x1
Re: 0.000 0.500 0.500 x2



[12]
SiRh2Pb at its PBEsol-relaxed geometry, computed with SCAN.

Values from the calculation:
ρ in g cm⁻³: 10.7
ΔE to the lowest computed polymorph in eV/f.u.: 2.15

Unit cell a=3.1179 b=3.1179 c=24.4543 alpha=90.00 beta=90.00 gamma=120.00
Space group R3m (No. 160, hexagonal axes)
Unique sites:
Si: 0.0000 0.0000 0.0000 x3
Rh: 0.0000 0.0000 0.2739 x3
Rh: 0.0000 0.0000 0.5195 x3
Pb: 0.0000 0.0000 0.7687 x3



Question: Which formula does entry 12 have?
Answer: SiRh2Pb



Question: The lowest ρ belongs to which entry?
Answer: Sr4Cu